(A)
RbAu3O: relaxed, PBE.

Cell: 4.7760 4.7760 4.7760 Å, 90.00 90.00 90.00°
With the nearest neighbours (Å) after each atom.
Space group Pm-3m (No. 221)
Symmetry-distinct sites (fractional):
Rb 0.0000 0.0000 0.0000 x1  12 Au 3.38
Au 0.0000 0.5000 0.5000 x3  2 O 2.39
O 0.5000 0.5000 0.5000 x1  6 Au 2.39

Calculated values
DOS at the Fermi energy (states/eV per cell): 0.534

=====

(B)
RbAu3O: relaxed, PBE.

Cell: 6.0853 6.0853 6.0853 Å, 90.00 90.00 90.00°
With the nearest neighbours (Å) after each atom.
Space group Pm-3m (No. 221)
Symmetry-distinct sites (fractional):
Rb 0.0000 0.0000 0.0000 x1  6 Au 3.04
Au 0.0000 0.0000 0.5000 x3  2 Rb 3.04
O 0.5000 0.5000 0.5000 x1  12 Au 4.30

Calculated values
DOS at the Fermi energy (states/eV per cell): 3.533

=====

Most stable: (A). Least stable: (B).

=====

(A)
Rb8AuO2: relaxed, PBE.

Cell: 17.9461 12.9280 5.6536 Å, 90.00 107.81 90.00°
With the nearest neighbours (Å) after each atom.
Space group C2/m (No. 12)
Symmetry-distinct sites (fractional):
Rb 0.1196 0.1578 0.1441 x8  1 O 2.61
Rb 0.1341 0.5000 0.6211 x4  1 O 2.59
Rb 0.2132 0.0000 0.7334 x4  2 O 2.82-2.83
Au 0.0000 0.0000 0.5000 x2  6 Rb 3.65-3.93
O 0.2145 0.0000 0.2342 x4  5 Rb 2.59-2.83

Calculated values
DOS at the Fermi energy (states/eV per cell): 10.703

=====

(B)
Rb8AuO2: relaxed, PBE.

Cell: 14.8759 12.0788 7.9208 Å, 90.00 95.60 90.00°
With the nearest neighbours (Å) after each atom.
Space group C2/m (No. 12)
Symmetry-distinct sites (fractional):
Rb 0.1256 0.0000 0.2623 x4  1 O 2.56
Rb 0.1255 0.3335 0.7450 x8  1 O 2.57
Rb 0.1941 0.5000 0.3016 x4  1 O 2.56
Au 0.0000 0.5000 0.0000 x2  6 Rb 3.51-3.56
O 0.2071 0.5000 0.6263 x4  4 Rb 2.56-2.57

Calculated values
DOS at the Fermi energy (states/eV per cell): 11.102

=====

Most stable: (B). Least stable: (A).

=====

(A)
Rb5Au2O: relaxed, PBE.

Cell: 10.4002 7.8961 15.5629 Å, 90.00 90.00 90.00°
With the nearest neighbours (Å) after each atom.
Space group Pnma (No. 62)
Symmetry-distinct sites (fractional):
Rb 0.0000 0.0000 0.0000 x4  2 O 2.91
Rb 0.0511 0.2500 0.2054 x4  1 O 2.69
Rb 0.1622 0.0030 0.6068 x8  1 O 2.66
Rb 0.2350 0.7500 0.3879 x4  1 O 2.77
Au 0.0478 0.7500 0.2003 x4  6 Rb 3.51-3.88
Au 0.2159 0.2500 0.4083 x4  8 Rb 3.59-3.97
O 0.1860 0.2500 0.0581 x4  6 Rb 2.66-2.91

Calculated values
DOS at the Fermi energy (states/eV per cell): 11.475

=====

(B)
Rb5Au2O: relaxed, PBE.

Cell: 6.4500 15.8030 15.5660 Å, 90.00 90.00 90.00°
With the nearest neighbours (Å) after each atom.
Space group Cmcm (No. 63)
Symmetry-distinct sites (fractional):
Rb 0.0000 0.0557 0.1294 x8  1 O 2.69
Rb 0.0000 0.2961 0.1205 x8  1 O 2.75
Rb 0.0000 0.3016 0.7500 x4  2 O 3.24, 2 Au 3.62
Au 0.0000 0.1604 0.5671 x8  6 Rb 3.40-3.62
O 0.0000 0.1781 0.2500 x4  4 Rb 2.69-2.75

Calculated values
DOS at the Fermi energy (states/eV per cell): 13.668

=====

Most stable: (A). Least stable: (B).